# ReMo2W

A relaxed ReMo2W crystal (GGA-PBEsol, Alexandria via LeMat-Bulk).

```
ReMo2W
1.0
-1.5589 2.2043 4.4249
1.5589 -2.2043 4.4249
1.5589 2.2043 -4.4249
Re Mo W
1 2 1
direct
0.0000 0.0000 0.0000
0.2534 0.7534 0.5000
0.7466 0.2466 0.5000
0.5000 0.5000 0.0000
```

Calculated values
energy of formation from the pure elements	0.11	eV per formula unit
magnetization	0.000	μB/cell
uncorrected energy	-12.641	eV/atom
excess energy over the best structure of this formula in the dataset	5	meV per atom